CaEuSbAu GGA-PBE relaxed; density of states at the Fermi level = 9.0 states/eV per cell; total energy = -23.42 eV/cell; mass density = 7.7 g/cm³; energy relative to the elements, uncorrected = -361.1 kJ/mol of formula units
1.0
0.000 3.807 3.807
3.807 0.000 3.807
3.807 3.807 0.000
Ca Eu Sb Au
1 1 1 1
direct
0.000 0.000 0.000
0.500 0.500 0.500
0.250 0.250 0.250
0.750 0.750 0.750